PBE-GGA MoWN2, optimized geometry; size of the total moment = 0.00 μB/cell; density = 12.74 g cm⁻³; crystal system = cubic; density of states at the Fermi level = 4.9 states/eV per cell; space-group type = Fm-3m, No. 225; uncorrected formation energy = 0.523 eV per atom; energy = -9.586 eV/atom
1.0
-2.071 3.004 1.205
-0.037 3.253 -2.046
-3.172 1.035 -1.906
Mo W N
1 1 2
Cartesian
0.000 0.000 0.000
-2.640 3.646 -1.374
-1.320 1.823 -0.687
-3.960 5.469 -2.060